A geometry-optimized MgScOs structure, computed with PBE-GGA.

Output
total DFT energy (no corrections): -75.8 eV for the cell shown
SG: Fmm2, No. 42
energy of formation: 66 meV/atom

CIF file:
```
data_MgScOs
_space_group_name_H-M_alt 'P 1'
_space_group_IT_number 1
_cell_length_a 3.3779
_cell_length_b 4.8170
_cell_length_c 13.6038
_cell_angle_alpha 90.00
_cell_angle_beta 90.00
_cell_angle_gamma 90.00
loop_
_space_group_symop_operation_xyz
'x,y,z'
loop_
_atom_site_label
_atom_site_fract_x
_atom_site_fract_y
_atom_site_fract_z
_atom_site_occupancy
Mg1 0.0000 0.0000 0.0000 1
Mg2 0.0000 0.5000 0.5000 1
Mg3 0.5000 0.0000 0.5000 1
Mg4 0.5000 0.5000 0.0000 1
Sc1 0.0000 0.0000 0.7005 1
Sc2 0.0000 0.5000 0.2005 1
Sc3 0.5000 0.0000 0.2005 1
Sc4 0.5000 0.5000 0.7005 1
Os1 0.0000 0.0000 0.3441 1
Os2 0.0000 0.5000 0.8441 1
Os3 0.5000 0.0000 0.8441 1
Os4 0.5000 0.5000 0.3441 1
```

A geometry-optimized Mg2ScOs structure, computed with PBE-GGA.

Output
total DFT energy (no corrections): -20.7 eV for the cell shown
SG: P4/mmm, No. 123
energy of formation: 0 meV/atom
offset from the most stable computed form: 0.094 eV/atom

CIF file:
```
data_Mg2ScOs
_space_group_name_H-M_alt 'P 1'
_space_group_IT_number 1
_cell_length_a 3.9681
_cell_length_b 3.9681
_cell_length_c 4.6080
_cell_angle_alpha 90.00
_cell_angle_beta 90.00
_cell_angle_gamma 90.00
loop_
_space_group_symop_operation_xyz
'x,y,z'
loop_
_atom_site_label
_atom_site_fract_x
_atom_site_fract_y
_atom_site_fract_z
_atom_site_occupancy
Mg1 0.0000 0.5000 0.0000 1
Mg2 0.5000 0.0000 0.0000 1
Sc1 0.0000 0.0000 0.5000 1
Os1 0.5000 0.5000 0.5000 1
```